ZrC3O (GGA-PBE, optimized geometry); energy relative to the lowest polymorph listed for this composition = 0.9539 eV per atom; crystal system = cubic; raw total energy = -5.357 eV/atom
1.0
4.382 0.000 0.000
0.000 4.382 0.000
0.000 0.000 4.382
Zr C O
1 3 1
Cartesian
0.000 0.000 0.000
0.000 0.000 2.191
0.000 2.191 0.000
2.191 0.000 0.000
2.191 2.191 2.191